[1]
A plane-wave DFT calculation with PBE-GGA was carried out for Zr6Ga2Co after structural relaxation.

abc: 7.8488 7.8488 3.3588
angles: 90.00 90.00 120.00
Fractional positions:
Zr 0.0000 0.2503 0.0000
Zr 0.0000 0.5951 0.5000
Zr 0.2503 0.0000 0.0000
Zr 0.4049 0.4049 0.5000
Zr 0.5951 0.0000 0.5000
Zr 0.7497 0.7497 0.0000
Ga 0.3333 0.6667 0.0000
Ga 0.6667 0.3333 0.0000
Co 0.0000 0.0000 0.5000

Calculated values
As for the total magnetization: 0.0 Bohr magnetons per cell. The symmetry is P-62m, No. 189. Its total energy is -7.57 eV/atom. For the mass density, the calculation gives 6.910 g cm⁻³. The volume is 179.19 Å³/f.u.

***

[2]
A plane-wave DFT calculation with PBE-GGA was carried out for LiMgCoPb after structural relaxation.

abc: 4.5116 4.5116 4.5116
angles: 60.00 60.00 60.00
Fractional positions:
Li 0.0000 0.0000 0.0000
Mg 0.7500 0.7500 0.7500
Co 0.5000 0.5000 0.5000
Pb 0.2500 0.2500 0.2500

Calculated values
As for the total magnetization: 0.0 Bohr magnetons per cell. The symmetry is F-43m, No. 216. Its total energy is -3.57 eV/atom. For the mass density, the calculation gives 7.605 g cm⁻³. The volume is 64.94 Å³/f.u.

***

[3]
A plane-wave DFT calculation with PBE-GGA was carried out for Cu5Ag4 after structural relaxation.

abc: 7.1609 7.1609 6.6946
angles: 92.21 92.21 22.38
Fractional positions:
Cu 0.0000 0.0000 0.0000
Cu 0.4382 0.4382 0.6838
Cu 0.5518 0.5518 0.3122
Cu 0.6557 0.6557 0.9952
Cu 0.7764 0.7764 0.6612
Ag 0.1036 0.1036 0.6619
Ag 0.2144 0.2144 0.3277
Ag 0.3272 0.3272 0.9872
Ag 0.8938 0.8938 0.3471

Calculated values
The symmetry is Cm, No. 8. The value obtained for the energy relative to the elements is 95.2 meV/atom. For the mass density, the calculation gives 9.525 g cm⁻³. The volume is 130.61 Å³/f.u.

***

[4]
A plane-wave DFT calculation with PBE-GGA was carried out for KZrAuSe3 after structural relaxation.

abc: 12.3983 4.1485 12.6773
angles: 90.00 90.00 90.00
Fractional positions:
K 0.1772 0.2500 0.0399
K 0.3228 0.7500 0.5399
K 0.6772 0.2500 0.4601
K 0.8228 0.7500 0.9601
Zr 0.0457 0.2500 0.3448
Zr 0.4543 0.7500 0.8448
Zr 0.5457 0.2500 0.1552
Zr 0.9543 0.7500 0.6552
Au 0.2077 0.7500 0.2553
Au 0.2923 0.2500 0.7553
Au 0.7077 0.7500 0.2447
Au 0.7923 0.2500 0.7447
Se 0.0151 0.7500 0.1912
Se 0.0777 0.2500 0.5680
Se 0.2370 0.7500 0.8553
Se 0.2630 0.2500 0.3553
Se 0.4223 0.7500 0.0680
Se 0.4849 0.2500 0.6912
Se 0.5151 0.7500 0.3088
Se 0.5777 0.2500 0.9320
Se 0.7370 0.7500 0.6447
Se 0.7630 0.2500 0.1447
Se 0.9223 0.7500 0.4320
Se 0.9849 0.2500 0.8088

Calculated values
As for the total magnetization: 0.0 Bohr magnetons per cell. The symmetry is Pnma, No. 62. Its total energy is -4.80 eV/atom. For the mass density, the calculation gives 5.747 g cm⁻³. The volume is 163.01 Å³/f.u.

***

[5]
A plane-wave DFT calculation with PBE-GGA was carried out for DyHg after structural relaxation.

abc: 4.7265 4.7265 4.7265
angles: 60.00 60.00 60.00
Fractional positions:
Dy 0.0000 0.0000 0.0000
Hg 0.7500 0.7500 0.7500

Calculated values
As for the total magnetization: 0.0 Bohr magnetons per cell. The symmetry is F-43m, No. 216. The value obtained for the energy relative to the elements is 327.6 meV/atom. For the mass density, the calculation gives 8.075 g cm⁻³. The volume is 74.66 Å³/f.u.

***

[6]
A plane-wave DFT calculation with PBE-GGA was carried out for CsPm2Cu3Te5 after structural relaxation.

abc: 8.1330 8.1330 18.7696
angles: 90.00 90.00 148.36
Fractional positions:
Cs 0.0575 0.9425 0.7500
Cs 0.9425 0.0575 0.2500
Pm 0.1924 0.8076 0.0891
Pm 0.1924 0.8076 0.4108
Pm 0.8076 0.1924 0.5891
Pm 0.8076 0.1924 0.9108
Cu 0.3419 0.6581 0.7500
Cu 0.4154 0.5846 0.0251
Cu 0.4154 0.5846 0.4749
Cu 0.5846 0.4154 0.5251
Cu 0.5846 0.4154 0.9749
Cu 0.6581 0.3419 0.2500
Te 0.1609 0.8391 0.5731
Te 0.1609 0.8391 0.9269
Te 0.2401 0.7599 0.2500
Te 0.4450 0.5550 0.6139
Te 0.4450 0.5550 0.8861
Te 0.5550 0.4450 0.1139
Te 0.5550 0.4450 0.3861
Te 0.7599 0.2401 0.7500
Te 0.8391 0.1609 0.0731
Te 0.8391 0.1609 0.4269

Calculated values
As for the total magnetization: 0.0 Bohr magnetons per cell. The symmetry is Cmcm, No. 63. Its total energy is -4.24 eV/atom. For the mass density, the calculation gives 6.381 g cm⁻³. The volume is 325.68 Å³/f.u.

***

[7]
A plane-wave DFT calculation with PBE-GGA was carried out for Na2TaNbSi2Os2 after structural relaxation.

abc: 4.4129 4.4129 6.2414
angles: 90.00 90.00 90.00
Fractional positions:
Na 0.0000 0.5000 0.2489
Na 0.5000 0.0000 0.7511
Ta 0.0000 0.0000 0.5000
Nb 0.5000 0.5000 0.0000
Si 0.0000 0.0000 0.0000
Si 0.5000 0.5000 0.5000
Os 0.0000 0.5000 0.7487
Os 0.5000 0.0000 0.2513

Calculated values
As for the total magnetization: 0.0 Bohr magnetons per cell. The symmetry is P-4m2, No. 115. Its total energy is -7.20 eV/atom. For the mass density, the calculation gives 10.335 g cm⁻³. The volume is 121.54 Å³/f.u.

***

[8]
A plane-wave DFT calculation with PBE-GGA was carried out for Pr2SmZn4Si4 after structural relaxation.

abc: 12.7241 12.7241 12.7241
angles: 161.13 161.09 26.84
Fractional positions:
Pr 0.1449 0.1449 0.0000
Pr 0.8551 0.8551 0.0000
Sm 0.5000 0.0000 0.5000
Zn 0.2502 0.7502 0.5000
Zn 0.4059 0.4059 0.0000
Zn 0.5941 0.5941 0.0000
Zn 0.7498 0.2498 0.5000
Si 0.0474 0.5474 0.5000
Si 0.3088 0.3088 0.0000
Si 0.6912 0.6912 0.0000
Si 0.9526 0.4526 0.5000

Calculated values
As for the total magnetization: 0.0 Bohr magnetons per cell. The symmetry is Immm, No. 71. Its total energy is -4.30 eV/atom. For the mass density, the calculation gives 6.203 g cm⁻³. The volume is 215.82 Å³/f.u.

***

Repeat the eighth record exactly.
A plane-wave DFT calculation with PBE-GGA was carried out for Pr2SmZn4Si4 after structural relaxation.

abc: 12.7241 12.7241 12.7241
angles: 161.13 161.09 26.84
Fractional positions:
Pr 0.1449 0.1449 0.0000
Pr 0.8551 0.8551 0.0000
Sm 0.5000 0.0000 0.5000
Zn 0.2502 0.7502 0.5000
Zn 0.4059 0.4059 0.0000
Zn 0.5941 0.5941 0.0000
Zn 0.7498 0.2498 0.5000
Si 0.0474 0.5474 0.5000
Si 0.3088 0.3088 0.0000
Si 0.6912 0.6912 0.0000
Si 0.9526 0.4526 0.5000

Calculated values
As for the total magnetization: 0.0 Bohr magnetons per cell. The symmetry is Immm, No. 71. Its total energy is -4.30 eV/atom. For the mass density, the calculation gives 6.203 g cm⁻³. The volume is 215.82 Å³/f.u.